A plane-wave DFT calculation with GGA-PBE was carried out for crystalline PmY2UP4 at its relaxed geometry.

```
data_PmY2UP4
_space_group_name_H-M_alt 'P 1 2/m 1'
_space_group_IT_number 10
_cell_length_a 6.951
_cell_length_b 4.008
_cell_length_c 6.969
_cell_angle_alpha 90.00
_cell_angle_beta 109.24
_cell_angle_gamma 90.00
loop_
_space_group_symop_operation_xyz
'x,y,z'
'-x,-y,-z'
'-x,y,-z'
'x,-y,z'
loop_
_atom_site_label
_atom_site_fract_x
_atom_site_fract_y
_atom_site_fract_z
Pm1 0.000 0.000 0.000
Y1 0.500 0.000 0.500
Y2 0.500 0.500 0.000
U1 0.000 0.500 0.500
P1 0.247 0.000 0.742
P2 0.250 0.500 0.260
```

Results
Its crystal system is monoclinic. Its formation energy is -1.440 eV/atom. Its total energy is -62.1 eV/cell. The value obtained for the magnetic moment is 0.264 μB per atom.

A plane-wave DFT calculation with GGA-PBE was carried out for crystalline PmZrU2P4 at its relaxed geometry.

```
data_PmZrU2P4
_space_group_name_H-M_alt 'P 1 2/m 1'
_space_group_IT_number 10
_cell_length_a 6.781
_cell_length_b 3.908
_cell_length_c 6.858
_cell_angle_alpha 90.00
_cell_angle_beta 109.07
_cell_angle_gamma 90.00
loop_
_space_group_symop_operation_xyz
'x,y,z'
'-x,-y,-z'
'-x,y,-z'
'x,-y,z'
loop_
_atom_site_label
_atom_site_fract_x
_atom_site_fract_y
_atom_site_fract_z
Pm1 0.000 0.000 0.000
Zr1 0.500 0.500 0.000
U1 0.000 0.500 0.500
U2 0.500 0.000 0.500
P1 0.262 0.000 0.753
P2 0.263 0.500 0.255
```

Results
Its crystal system is monoclinic. Its formation energy is -1.215 eV/atom. Its total energy is -67.2 eV/cell. The value obtained for the magnetic moment is 0.518 μB per atom.

A plane-wave DFT calculation with GGA-PBE was carried out for crystalline PmV2P at its relaxed geometry.

```
data_PmV2P
_space_group_name_H-M_alt 'R -3 m'
_space_group_IT_number 166
_space_group_name_Hall '-R 3 2"'
_cell_length_a 4.1840
_cell_length_b 4.1840
_cell_length_c 14.9756
_cell_angle_alpha 90.00
_cell_angle_beta 90.00
_cell_angle_gamma 120.00
loop_
_atom_site_label
_atom_site_fract_x
_atom_site_fract_y
_atom_site_fract_z
Pm1 0.0000 0.0000 0.0000
V1 0.0000 0.0000 0.1918
P1 0.0000 0.0000 0.5000
```

Results
Its crystal system is trigonal. Its formation energy is -0.165 eV/atom. Its total energy is -87.2 eV/cell. The value obtained for the magnetic moment is 0.000 μB per atom.

A plane-wave DFT calculation with GGA-PBE was carried out for crystalline PmVP2 at its relaxed geometry.

```
data_PmVP2
_space_group_name_H-M_alt 'I -4 m 2'
_space_group_IT_number 119
_space_group_name_Hall 'I -4 -2'
_cell_length_a 3.709
_cell_length_b 3.709
_cell_length_c 11.803
_cell_angle_alpha 90.00
_cell_angle_beta 90.00
_cell_angle_gamma 90.00
loop_
_atom_site_label
_atom_site_fract_x
_atom_site_fract_y
_atom_site_fract_z
Pm1 0.000 0.000 0.000
V1 0.000 0.500 0.750
P1 0.000 0.000 0.369
```

Results
The calculation puts the offset from the most stable computed form at 0.000 eV per atom. Its crystal system is tetragonal. Its formation energy is -0.723 eV/atom. Its total energy is -55.2 eV/cell. The value obtained for the magnetic moment is 0.427 μB per atom.

A plane-wave DFT calculation with GGA-PBE was carried out for crystalline PmVP2 at its relaxed geometry.

```
data_PmVP2
_space_group_name_H-M_alt 'F m -3 m'
_space_group_IT_number 225
_space_group_name_Hall '-F 4 2 3'
_cell_length_a 6.628
_cell_length_b 6.628
_cell_length_c 6.628
_cell_angle_alpha 90.00
_cell_angle_beta 90.00
_cell_angle_gamma 90.00
loop_
_atom_site_label
_atom_site_fract_x
_atom_site_fract_y
_atom_site_fract_z
Pm1 0.000 0.000 0.000
V1 0.000 0.000 0.500
P1 0.250 0.250 0.250
```

Results
The calculation puts the offset from the most stable computed form at 0.215 eV per atom. Its crystal system is cubic. Its formation energy is -0.508 eV/atom. Its total energy is -106.9 eV/cell. The value obtained for the magnetic moment is 0.485 μB per atom.

A plane-wave DFT calculation with GGA-PBE was carried out for crystalline PmVP2 at its relaxed geometry.

```
data_PmVP2
_space_group_name_H-M_alt 'R -3 m'
_space_group_IT_number 166
_space_group_name_Hall '-R 3 2"'
_cell_length_a 4.2364
_cell_length_b 4.2364
_cell_length_c 22.5602
_cell_angle_alpha 90.00
_cell_angle_beta 90.00
_cell_angle_gamma 120.00
loop_
_atom_site_label
_atom_site_fract_x
_atom_site_fract_y
_atom_site_fract_z
Pm1 0.0000 0.0000 0.0000
V1 0.0000 0.0000 0.5000
P1 0.0000 0.0000 0.3999
```

Results
The calculation puts the offset from the most stable computed form at 0.763 eV per atom. Its crystal system is trigonal. Its formation energy is 0.040 eV/atom. Its total energy is -73.6 eV/cell. The value obtained for the magnetic moment is 0.514 μB per atom.

A plane-wave DFT calculation with GGA-PBE was carried out for crystalline PmVP2 at its relaxed geometry.

```
data_PmVP2
_space_group_name_H-M_alt 'P 4/m m m'
_space_group_IT_number 123
_space_group_name_Hall '-P 4 2'
_cell_length_a 4.685
_cell_length_b 4.685
_cell_length_c 3.402
_cell_angle_alpha 90.00
_cell_angle_beta 90.00
_cell_angle_gamma 90.00
loop_
_atom_site_label
_atom_site_fract_x
_atom_site_fract_y
_atom_site_fract_z
Pm1 0.000 0.000 0.000
V1 0.500 0.500 0.000
P1 0.000 0.500 0.500
```

Results
The calculation puts the offset from the most stable computed form at 0.337 eV per atom. Its crystal system is tetragonal. Its formation energy is -0.386 eV/atom. Its total energy is -26.2 eV/cell. The value obtained for the magnetic moment is 0.604 μB per atom.

A plane-wave DFT calculation with GGA-PBE was carried out for crystalline PmP2W at its relaxed geometry.

```
data_PmP2W
_space_group_name_H-M_alt 'R -3 m'
_space_group_IT_number 166
_space_group_name_Hall '-R 3 2"'
_cell_length_a 3.0153
_cell_length_b 3.0153
_cell_length_c 29.0795
_cell_angle_alpha 90.00
_cell_angle_beta 90.00
_cell_angle_gamma 120.00
loop_
_atom_site_label
_atom_site_fract_x
_atom_site_fract_y
_atom_site_fract_z
Pm1 0.0000 0.0000 0.0000
P1 0.0000 0.0000 0.4161
W1 0.0000 0.0000 0.5000
```

Results
Its crystal system is trigonal. Its formation energy is 0.484 eV/atom. Its total energy is -79.8 eV/cell. The value obtained for the magnetic moment is 0.000 μB per atom.

A plane-wave DFT calculation with GGA-PBE was carried out for crystalline PmY4P5 at its relaxed geometry.

```
data_PmY4P5
_space_group_name_H-M_alt 'I m m m'
_space_group_IT_number 71
_space_group_name_Hall '-I 2 2'
_cell_length_a 4.039
_cell_length_b 5.712
_cell_length_c 20.184
_cell_angle_alpha 90.00
_cell_angle_beta 90.00
_cell_angle_gamma 90.00
loop_
_atom_site_label
_atom_site_fract_x
_atom_site_fract_y
_atom_site_fract_z
Pm1 0.000 0.000 0.000
Y1 0.000 0.000 0.201
Y2 0.000 0.000 0.399
P1 0.000 0.500 0.000
P2 0.000 0.500 0.200
P3 0.000 0.500 0.397
```

Results
Its crystal system is orthorhombic. Its formation energy is -1.612 eV/atom. Its total energy is -147.5 eV/cell. The value obtained for the magnetic moment is 0.000 μB per atom.

A plane-wave DFT calculation with GGA-PBE was carried out for crystalline Pm3YP4 at its relaxed geometry.

```
data_Pm3YP4
_space_group_name_H-M_alt 'C m m m'
_space_group_IT_number 65
_space_group_name_Hall '-C 2 2'
_cell_length_a 8.205
_cell_length_b 11.601
_cell_length_c 4.106
_cell_angle_alpha 90.00
_cell_angle_beta 90.00
_cell_angle_gamma 90.00
loop_
_atom_site_label
_atom_site_fract_x
_atom_site_fract_y
_atom_site_fract_z
Pm1 0.000 0.000 0.000
Pm2 0.250 0.250 0.500
Y1 0.000 0.500 0.000
P1 0.000 0.252 0.000
P2 0.246 0.500 0.500
```

Results
Its crystal system is orthorhombic. Its formation energy is -1.576 eV/atom. Its total energy is -109.9 eV/cell. The value obtained for the magnetic moment is 0.000 μB per atom.

A plane-wave DFT calculation with GGA-PBE was carried out for crystalline Pm3YP4 at its relaxed geometry.

```
data_Pm3YP4
_space_group_name_H-M_alt 'P 1 2/c 1'
_space_group_IT_number 13
_cell_length_a 7.104
_cell_length_b 8.213
_cell_length_c 7.105
_cell_angle_alpha 90.00
_cell_angle_beta 109.50
_cell_angle_gamma 90.00
loop_
_space_group_symop_operation_xyz
'x,y,z'
'-x,-y,-z'
'-x,y,-z+1/2'
'x,-y,z+1/2'
loop_
_atom_site_label
_atom_site_fract_x
_atom_site_fract_y
_atom_site_fract_z
Pm1 0.000 0.124 0.250
Pm2 0.000 0.374 0.750
Pm3 0.500 0.374 0.250
Y1 0.500 0.124 0.750
P1 0.252 0.373 0.502
P2 0.255 0.122 0.000
```

Results
Its crystal system is monoclinic. Its formation energy is -1.577 eV/atom. Its total energy is -109.9 eV/cell. The value obtained for the magnetic moment is 0.000 μB per atom.

A plane-wave DFT calculation with GGA-PBE was carried out for crystalline Pm2YP3 at its relaxed geometry.

```
data_Pm2YP3
_space_group_name_H-M_alt 'I m m m'
_space_group_IT_number 71
_space_group_name_Hall '-I 2 2'
_cell_length_a 4.097
_cell_length_b 5.790
_cell_length_c 12.273
_cell_angle_alpha 90.00
_cell_angle_beta 90.00
_cell_angle_gamma 90.00
loop_
_atom_site_label
_atom_site_fract_x
_atom_site_fract_y
_atom_site_fract_z
Pm1 0.000 0.000 0.167
Y1 0.000 0.000 0.500
P1 0.000 0.500 0.163
P2 0.000 0.500 0.500
```

Results
Its crystal system is orthorhombic. Its formation energy is -1.580 eV/atom. Its total energy is -83.3 eV/cell. The value obtained for the magnetic moment is 0.000 μB per atom.